Entry 1:
Here is a relaxed structure of MgBe2Pd2 from Alexandria. Energies are from PBE.

Calculated values
Its calculated volume is 13.637 Å³/atom. As for the formation energy: -0.385 eV/atom. The value obtained for the total energy is -4.272 eV per atom. The calculation puts the relative energy among the computed polymorphs at 15.0 kJ/mol of atoms.

Unit cell a=3.305 b=3.305 c=12.486 alpha=90.00 beta=90.00 gamma=90.00
Fractional coordinates of all 10 atoms:
Mg 0.000 0.000 0.000
Mg 0.500 0.500 0.500
Be 0.000 0.500 0.250
Be 0.000 0.500 0.750
Be 0.500 0.000 0.250
Be 0.500 0.000 0.750
Pd 0.000 0.000 0.383
Pd 0.000 0.000 0.617
Pd 0.500 0.500 0.117
Pd 0.500 0.500 0.883

---

Entry 2:
Here is a relaxed structure of Mg2BePd2 from Alexandria. Energies are from PBE.

Calculated values
Its calculated volume is 15.806 Å³/atom. As for the formation energy: -0.508 eV/atom. The value obtained for the total energy is -3.968 eV per atom.

Unit cell a=6.055 b=6.055 c=4.311 alpha=90.00 beta=90.00 gamma=90.00
Fractional coordinates of all 10 atoms:
Mg 0.166 0.334 0.000
Mg 0.334 0.834 0.000
Mg 0.666 0.166 0.000
Mg 0.834 0.666 0.000
Be 0.000 0.000 0.500
Be 0.500 0.500 0.500
Pd 0.156 0.656 0.500
Pd 0.344 0.156 0.500
Pd 0.656 0.844 0.500
Pd 0.844 0.344 0.500

---

Entry 3:
Here is a relaxed structure of Mg2Be2Pd from Alexandria. Energies are from PBE.

Calculated values
Its calculated volume is 14.515 Å³/atom. As for the formation energy: -0.084 eV/atom. The value obtained for the total energy is -3.251 eV per atom.

Unit cell a=6.051 b=6.051 c=3.965 alpha=90.00 beta=90.00 gamma=90.00
Fractional coordinates of all 10 atoms:
Mg 0.176 0.324 0.000
Mg 0.324 0.824 0.000
Mg 0.676 0.176 0.000
Mg 0.824 0.676 0.000
Be 0.127 0.627 0.500
Be 0.373 0.127 0.500
Be 0.627 0.873 0.500
Be 0.873 0.373 0.500
Pd 0.000 0.000 0.500
Pd 0.500 0.500 0.500